First-principles (PBE) data for an optimized crystal structure of CoSiNiRh2, as listed in the Alexandria database.

Computed properties:
The raw formation energy is 1.036 eV/atom. The value obtained for the density of states at the Fermi level is 1.50 states/eV/atom. The value obtained for the total moment is 2.71 μB/cell. The space-group type is No. 123.

abc: 4.510 4.510 4.069
angles: 90.00 90.00 90.00
Sites, in units of the cell vectors:
Co (0.000, 0.000, 0.000)
Si (0.500, 0.500, 0.000)
Ni (0.500, 0.500, 0.500)
Rh (0.000, 0.500, 0.500)
Rh (0.500, 0.000, 0.500)